No. 1
# KRbZn2Pt (PBE, relaxed)
# volume = 31.10 Å³ per atom
# distance to the lowest polymorph of the same formula = 49 meV/atom
# E = -2.188 eV per atom
# ΔH_f (0 K) = -0.057 eV per atom
# magnetic moment = 0.00 Bohr magnetons per cell
data_KRbZn2Pt
_cell_length_a 5.065
_cell_length_b 5.065
_cell_length_c 6.063
_cell_angle_alpha 90.00
_cell_angle_beta 90.00
_cell_angle_gamma 90.00
_symmetry_space_group_name_H-M 'P 1'
_symmetry_Int_Tables_number 1
_symmetry_space_group_name_Hall 'P 1'
loop_
_atom_site_label
_atom_site_fract_x
_atom_site_fract_y
_atom_site_fract_z
K1 0.000 0.000 0.000
Rb1 0.500 0.500 0.000
Zn1 0.000 0.500 0.500
Zn2 0.500 0.000 0.500
Pt1 0.500 0.500 0.500

***

No. 2
# KRbZn2Pt (PBE, relaxed)
# volume = 30.30 Å³ per atom
# distance to the lowest polymorph of the same formula = 0 meV/atom
# E = -2.237 eV per atom
# ΔH_f (0 K) = -0.107 eV per atom
# magnetic moment = 0.00 Bohr magnetons per cell
data_KRbZn2Pt
_cell_length_a 5.073
_cell_length_b 5.073
_cell_length_c 5.887
_cell_angle_alpha 90.00
_cell_angle_beta 90.00
_cell_angle_gamma 90.00
_symmetry_space_group_name_H-M 'P 1'
_symmetry_Int_Tables_number 1
_symmetry_space_group_name_Hall 'P 1'
loop_
_atom_site_label
_atom_site_fract_x
_atom_site_fract_y
_atom_site_fract_z
K1 0.000 0.000 0.000
Rb1 0.500 0.500 0.000
Zn1 0.000 0.500 0.500
Zn2 0.500 0.000 0.500
Pt1 0.000 0.000 0.500

***

No. 3
# KRePt2 (PBE, relaxed)
# volume = 18.62 Å³ per atom
# distance to the lowest polymorph of the same formula = 328 meV/atom
# E = -5.960 eV per atom
# ΔH_f (0 K) = 0.447 eV per atom
# magnetic moment = 0.00 Bohr magnetons per cell
data_KRePt2
_cell_length_a 2.786
_cell_length_b 2.786
_cell_length_c 9.597
_cell_angle_alpha 90.00
_cell_angle_beta 90.00
_cell_angle_gamma 90.00
_symmetry_space_group_name_H-M 'P 1'
_symmetry_Int_Tables_number 1
_symmetry_space_group_name_Hall 'P 1'
loop_
_atom_site_label
_atom_site_fract_x
_atom_site_fract_y
_atom_site_fract_z
K1 0.000 0.000 0.000
Re1 0.500 0.500 0.683
Pt1 0.000 0.000 0.490
Pt2 0.500 0.500 0.273

***

No. 4
# KRePt2 (PBE, relaxed)
# volume = 26.34 Å³ per atom
# distance to the lowest polymorph of the same formula = 682 meV/atom
# E = -5.606 eV per atom
# ΔH_f (0 K) = 0.801 eV per atom
# magnetic moment = 0.00 Bohr magnetons per cell
data_KRePt2
_cell_length_a 6.505
_cell_length_b 6.505
_cell_length_c 6.505
_cell_angle_alpha 107.15
_cell_angle_beta 107.15
_cell_angle_gamma 114.23
_symmetry_space_group_name_H-M 'P 1'
_symmetry_Int_Tables_number 1
_symmetry_space_group_name_Hall 'P 1'
loop_
_atom_site_label
_atom_site_fract_x
_atom_site_fract_y
_atom_site_fract_z
K1 0.000 0.000 0.000
K2 0.750 0.250 0.500
Re1 0.250 0.750 0.500
Re2 0.500 0.500 0.000
Pt1 0.225 0.625 0.100
Pt2 0.375 0.475 0.600
Pt3 0.525 0.125 0.900
Pt4 0.875 0.775 0.400

***

No. 5
# KRe2Pt (PBE, relaxed)
# volume = 21.03 Å³ per atom
# distance to the lowest polymorph of the same formula = 60 meV/atom
# E = -7.440 eV per atom
# ΔH_f (0 K) = 0.568 eV per atom
# magnetic moment = 0.00 Bohr magnetons per cell
data_KRe2Pt
_cell_length_a 2.727
_cell_length_b 3.860
_cell_length_c 7.991
_cell_angle_alpha 90.00
_cell_angle_beta 90.00
_cell_angle_gamma 90.00
_symmetry_space_group_name_H-M 'P 1'
_symmetry_Int_Tables_number 1
_symmetry_space_group_name_Hall 'P 1'
loop_
_atom_site_label
_atom_site_fract_x
_atom_site_fract_y
_atom_site_fract_z
K1 0.000 0.000 0.000
Re1 0.000 0.000 0.497
Re2 0.500 0.500 0.645
Pt1 0.500 0.500 0.310

***

No. 6
# KRe2Pt (PBE, relaxed)
# volume = 22.20 Å³ per atom
# distance to the lowest polymorph of the same formula = 366 meV/atom
# E = -7.134 eV per atom
# ΔH_f (0 K) = 0.875 eV per atom
# magnetic moment = 0.00 Bohr magnetons per cell
data_KRe2Pt
_cell_length_a 2.724
_cell_length_b 4.422
_cell_length_c 7.371
_cell_angle_alpha 90.00
_cell_angle_beta 90.00
_cell_angle_gamma 90.00
_symmetry_space_group_name_H-M 'P 1'
_symmetry_Int_Tables_number 1
_symmetry_space_group_name_Hall 'P 1'
loop_
_atom_site_label
_atom_site_fract_x
_atom_site_fract_y
_atom_site_fract_z
K1 0.000 0.000 0.000
Re1 0.500 0.500 0.348
Re2 0.500 0.500 0.652
Pt1 0.000 0.000 0.500

***

No. 7
# KRe2Pt (PBE, relaxed)
# volume = 17.68 Å³ per atom
# distance to the lowest polymorph of the same formula = 648 meV/atom
# E = -6.852 eV per atom
# ΔH_f (0 K) = 1.157 eV per atom
# magnetic moment = 0.58 Bohr magnetons per cell
data_KRe2Pt
_cell_length_a 2.739
_cell_length_b 4.865
_cell_length_c 5.308
_cell_angle_alpha 90.00
_cell_angle_beta 90.00
_cell_angle_gamma 90.00
_symmetry_space_group_name_H-M 'P 1'
_symmetry_Int_Tables_number 1
_symmetry_space_group_name_Hall 'P 1'
loop_
_atom_site_label
_atom_site_fract_x
_atom_site_fract_y
_atom_site_fract_z
K1 0.000 0.000 0.000
Re1 0.000 0.500 0.500
Re2 0.500 0.000 0.500
Pt1 0.500 0.500 0.000

***

No. 8
# KRe2Pt (PBE, relaxed)
# volume = 19.84 Å³ per atom
# distance to the lowest polymorph of the same formula = 0 meV/atom
# E = -7.500 eV per atom
# ΔH_f (0 K) = 0.509 eV per atom
# magnetic moment = 0.00 Bohr magnetons per cell
data_KRe2Pt
_cell_length_a 2.964
_cell_length_b 2.964
_cell_length_c 9.035
_cell_angle_alpha 90.00
_cell_angle_beta 90.00
_cell_angle_gamma 90.00
_symmetry_space_group_name_H-M 'P 1'
_symmetry_Int_Tables_number 1
_symmetry_space_group_name_Hall 'P 1'
loop_
_atom_site_label
_atom_site_fract_x
_atom_site_fract_y
_atom_site_fract_z
K1 0.000 0.000 0.000
Re1 0.000 0.000 0.496
Re2 0.500 0.500 0.658
Pt1 0.500 0.500 0.285

***

No. 9
# KRePt2 (PBE, relaxed)
# volume = 20.34 Å³ per atom
# distance to the lowest polymorph of the same formula = 45 meV/atom
# E = -6.243 eV per atom
# ΔH_f (0 K) = 0.164 eV per atom
# magnetic moment = 0.00 Bohr magnetons per cell
data_KRePt2
_cell_length_a 2.783
_cell_length_b 3.693
_cell_length_c 7.915
_cell_angle_alpha 90.00
_cell_angle_beta 90.08
_cell_angle_gamma 90.00
_symmetry_space_group_name_H-M 'P 1'
_symmetry_Int_Tables_number 1
_symmetry_space_group_name_Hall 'P 1'
loop_
_atom_site_label
_atom_site_fract_x
_atom_site_fract_y
_atom_site_fract_z
K1 0.000 0.000 0.000
Re1 0.000 0.000 0.500
Pt1 0.499 0.500 0.325
Pt2 0.501 0.500 0.675

***

No. 10
# KRe2Pt (PBE, relaxed)
# volume = 16.83 Å³ per atom
# distance to the lowest polymorph of the same formula = 1238 meV/atom
# E = -6.262 eV per atom
# ΔH_f (0 K) = 1.747 eV per atom
# magnetic moment = 0.00 Bohr magnetons per cell
data_KRe2Pt
_cell_length_a 4.566
_cell_length_b 4.566
_cell_length_c 4.566
_cell_angle_alpha 60.00
_cell_angle_beta 60.00
_cell_angle_gamma 60.00
_symmetry_space_group_name_H-M 'P 1'
_symmetry_Int_Tables_number 1
_symmetry_space_group_name_Hall 'P 1'
loop_
_atom_site_label
_atom_site_fract_x
_atom_site_fract_y
_atom_site_fract_z
K1 0.000 0.000 0.000
Re1 0.250 0.250 0.250
Re2 0.750 0.750 0.750
Pt1 0.500 0.500 0.500

***

No. 11
# KRePt2 (PBE, relaxed)
# volume = 17.73 Å³ per atom
# distance to the lowest polymorph of the same formula = 220 meV/atom
# E = -6.068 eV per atom
# ΔH_f (0 K) = 0.339 eV per atom
# magnetic moment = 0.43 Bohr magnetons per cell
data_KRePt2
_cell_length_a 10.261
_cell_length_b 10.261
_cell_length_c 10.261
_cell_angle_alpha 15.93
_cell_angle_beta 15.93
_cell_angle_gamma 15.93
_symmetry_space_group_name_H-M 'P 1'
_symmetry_Int_Tables_number 1
_symmetry_space_group_name_Hall 'P 1'
loop_
_atom_site_label
_atom_site_fract_x
_atom_site_fract_y
_atom_site_fract_z
K1 0.000 0.000 0.000
Re1 0.500 0.500 0.500
Pt1 0.239 0.239 0.239
Pt2 0.761 0.761 0.761

***

No. 12
# KRe2Pt (PBE, relaxed)
# volume = 17.77 Å³ per atom
# distance to the lowest polymorph of the same formula = 78 meV/atom
# E = -7.422 eV per atom
# ΔH_f (0 K) = 0.586 eV per atom
# magnetic moment = 0.00 Bohr magnetons per cell
data_KRe2Pt
_cell_length_a 2.756
_cell_length_b 2.756
_cell_length_c 10.348
_cell_angle_alpha 90.00
_cell_angle_beta 90.00
_cell_angle_gamma 115.27
_symmetry_space_group_name_H-M 'P 1'
_symmetry_Int_Tables_number 1
_symmetry_space_group_name_Hall 'P 1'
loop_
_atom_site_label
_atom_site_fract_x
_atom_site_fract_y
_atom_site_fract_z
K1 0.000 0.000 0.000
Re1 0.000 0.000 0.499
Re2 0.500 0.500 0.706
Pt1 0.500 0.500 0.268

***

No. 13
# KRePt2 (PBE, relaxed)
# volume = 21.26 Å³ per atom
# distance to the lowest polymorph of the same formula = 218 meV/atom
# E = -6.069 eV per atom
# ΔH_f (0 K) = 0.337 eV per atom
# magnetic moment = 0.00 Bohr magnetons per cell
data_KRePt2
_cell_length_a 4.306
_cell_length_b 4.306
_cell_length_c 7.642
_cell_angle_alpha 93.49
_cell_angle_beta 93.49
_cell_angle_gamma 36.97
_symmetry_space_group_name_H-M 'P 1'
_symmetry_Int_Tables_number 1
_symmetry_space_group_name_Hall 'P 1'
loop_
_atom_site_label
_atom_site_fract_x
_atom_site_fract_y
_atom_site_fract_z
K1 0.000 0.000 0.000
Re1 0.500 0.500 0.500
Pt1 0.246 0.246 0.674
Pt2 0.754 0.754 0.326

***

No. 14
# KRePt2 (PBE, relaxed)
# volume = 22.35 Å³ per atom
# distance to the lowest polymorph of the same formula = 753 meV/atom
# E = -5.535 eV per atom
# ΔH_f (0 K) = 0.872 eV per atom
# magnetic moment = 0.00 Bohr magnetons per cell
data_KRePt2
_cell_length_a 5.579
_cell_length_b 5.579
_cell_length_c 5.579
_cell_angle_alpha 142.51
_cell_angle_beta 120.41
_cell_angle_gamma 72.56
_symmetry_space_group_name_H-M 'P 1'
_symmetry_Int_Tables_number 1
_symmetry_space_group_name_Hall 'P 1'
loop_
_atom_site_label
_atom_site_fract_x
_atom_site_fract_y
_atom_site_fract_z
K1 0.000 0.000 0.000
Re1 0.500 0.500 0.000
Pt1 0.310 0.810 0.500
Pt2 0.690 0.190 0.500

***

No. 15
# KRe2Pt (PBE, relaxed)
# volume = 18.31 Å³ per atom
# distance to the lowest polymorph of the same formula = 379 meV/atom
# E = -7.121 eV per atom
# ΔH_f (0 K) = 0.888 eV per atom
# magnetic moment = 0.00 Bohr magnetons per cell
data_KRe2Pt
_cell_length_a 2.686
_cell_length_b 2.686
_cell_length_c 10.153
_cell_angle_alpha 90.00
_cell_angle_beta 90.00
_cell_angle_gamma 90.00
_symmetry_space_group_name_H-M 'P 1'
_symmetry_Int_Tables_number 1
_symmetry_space_group_name_Hall 'P 1'
loop_
_atom_site_label
_atom_site_fract_x
_atom_site_fract_y
_atom_site_fract_z
K1 0.000 0.000 0.000
Re1 0.500 0.500 0.294
Re2 0.500 0.500 0.706
Pt1 0.000 0.000 0.500